No. 1
! Er4CdPb, optimized geometry, DFT GGA-PBE; values from VASP
&SYSTEM
  ibrav = 0, nat = 6, ntyp = 3
/
ATOMIC_SPECIES
Er 167.26 Er.upf
Cd 112.41 Cd.upf
Pb 207.20 Pb.upf
CELL_PARAMETERS angstrom
5.143 0.000 0.000
0.000 5.143 0.000
0.000 0.000 7.218
ATOMIC_POSITIONS angstrom
Er 0.000 2.572 1.715
Er 0.000 2.572 5.504
Er 2.572 0.000 1.715
Er 2.572 0.000 5.504
Cd 0.000 0.000 0.000
Pb 2.572 2.572 3.609
! DFT formation energy, kJ/mol of formula units: -24
! SG: P4/mmm (123)
! V, A^3/atom: 31.8
! Total magnetic moment, μB per atom: 0.0002


No. 2
! Er2CdPb2, optimized geometry, DFT GGA-PBE; values from VASP
&SYSTEM
  ibrav = 0, nat = 10, ntyp = 3
/
ATOMIC_SPECIES
Er 167.26 Er.upf
Cd 112.41 Cd.upf
Pb 207.20 Pb.upf
CELL_PARAMETERS angstrom
5.045 0.000 0.000
-2.522 4.369 0.000
0.000 0.000 12.585
ATOMIC_POSITIONS angstrom
Er 0.000 2.912 1.276
Er 0.000 2.912 5.016
Er 2.522 1.456 7.569
Er 2.522 1.456 11.309
Cd 0.000 0.000 3.146
Cd 0.000 0.000 9.439
Pb 0.000 0.000 0.000
Pb 0.000 0.000 6.293
Pb 0.000 2.912 9.439
Pb 2.522 1.456 3.146
! DFT formation energy, kJ/mol of formula units: -141
! SG: P6_3/mmc (194)
! V, A^3/atom: 27.7
! Total magnetic moment, μB per atom: 0.0000


No. 3
! Er6CdPb, optimized geometry, DFT GGA-PBE; values from VASP
&SYSTEM
  ibrav = 0, nat = 8, ntyp = 3
/
ATOMIC_SPECIES
Er 167.26 Er.upf
Cd 112.41 Cd.upf
Pb 207.20 Pb.upf
CELL_PARAMETERS angstrom
-2.521 2.521 9.120
2.521 -2.521 9.120
2.521 2.521 -9.120
ATOMIC_POSITIONS angstrom
Er 2.521 0.000 2.124
Er 0.000 0.000 4.519
Er 2.521 0.000 6.996
Er 0.000 2.521 2.124
Er 0.000 0.000 13.722
Er 0.000 2.521 6.996
Cd 0.000 0.000 0.000
Pb 0.000 0.000 9.120
! DFT formation energy, kJ/mol of formula units: -151
! SG: I4/mmm (139)
! V, A^3/atom: 29.0
! Total magnetic moment, μB per atom: 0.0001


Result set for DFT total energy: -23.1, -37.8, -33.6 eV per cell, one per record in the order listed.